[1]
Below is a relaxed Pr2NdSm4 crystal, with properties calculated at the PBE level.

Cell lengths 12.099, 12.099, 12.099 Å; angles 162.93, 151.66, 33.27 degrees
Element x y z (fractional)
Pr  0.223  0.223  0.000
Pr  0.777  0.777  0.000
Nd  0.500  0.500  0.000
Sm  0.083  0.583  0.500
Sm  0.364  0.864  0.500
Sm  0.636  0.136  0.500
Sm  0.917  0.417  0.500

Output
Density of states at the Fermi level, states/eV/f.u.: 13.0
Mass density, Mg/m³: 6.92
M_tot, μB per cell: 0.0
Excess energy over the best structure of this formula in the dataset, meV per atom: 93
E_form, kJ/mol of atoms: 9.83

=====

[2]
Below is a relaxed CeDy2Y6Er3 crystal, with properties calculated at the PBE level.

Cell lengths 6.152, 6.152, 11.769 Å; angles 95.00, 95.00, 119.97 degrees
Element x y z (fractional)
Ce  0.000  0.000  0.000
Dy  0.333  0.667  0.000
Dy  0.667  0.333  0.000
Y  0.084  0.415  0.251
Y  0.248  0.248  0.749
Y  0.415  0.084  0.251
Y  0.585  0.916  0.749
Y  0.752  0.752  0.251
Y  0.916  0.585  0.749
Er  0.167  0.833  0.500
Er  0.500  0.500  0.500
Er  0.833  0.167  0.500

Output
Density of states at the Fermi level, states/eV/f.u.: 20.6
Mass density, Mg/m³: 6.56
M_tot, μB per cell: 1.1
E_form, kJ/mol of atoms: 4.03

=====

[3]
Below is a relaxed Mg6Au7 crystal, with properties calculated at the PBE level.

Cell lengths 9.926, 9.926, 9.926 Å; angles 32.93, 32.93, 32.93 degrees
Element x y z (fractional)
Mg  0.056  0.056  0.056
Mg  0.165  0.165  0.165
Mg  0.333  0.333  0.333
Mg  0.667  0.667  0.667
Mg  0.835  0.835  0.835
Mg  0.944  0.944  0.944
Au  0.081  0.583  0.583
Au  0.417  0.417  0.919
Au  0.417  0.919  0.417
Au  0.500  0.500  0.500
Au  0.583  0.081  0.583
Au  0.583  0.583  0.081
Au  0.919  0.417  0.417

Output
Density of states at the Fermi level, states/eV/f.u.: 5.5
Mass density, Mg/m³: 9.84
M_tot, μB per cell: 0.0
E_form, kJ/mol of atoms: -36.54

=====

[4]
Below is a relaxed Te2IrSeN crystal, with properties calculated at the PBE level.

Cell lengths 5.419, 5.419, 3.535 Å; angles 90.00, 90.00, 90.00 degrees
Element x y z (fractional)
Te  0.000  0.500  0.000
Te  0.500  0.000  0.000
Ir  0.000  0.000  0.500
Se  0.500  0.500  0.000
N  0.500  0.500  0.500

Output
Density of states at the Fermi level, states/eV/f.u.: 4.7
Formation energy from raw total energies, kJ/mol of formula units: 659
Mass density, Mg/m³: 8.65
M_tot, μB per cell: 0.0
Excess energy over the best structure of this formula in the dataset, meV per atom: 952

=====

[5]
Below is a relaxed Tm2NpS5 crystal, with properties calculated at the PBE level.

Cell lengths 8.570, 7.834, 5.126 Å; angles 79.82, 64.12, 36.07 degrees
Element x y z (fractional)
Tm  0.180  0.180  0.820
Tm  0.820  0.820  0.180
Np  0.500  0.500  0.500
S  0.000  0.000  0.000
S  0.179  0.508  0.492
S  0.492  0.821  0.179
S  0.508  0.179  0.821
S  0.821  0.492  0.508

Output
Density of states at the Fermi level, states/eV/f.u.: 11.4
Formation energy from raw total energies, kJ/mol of formula units: -1096
Mass density, Mg/m³: 7.10
M_tot, μB per cell: 3.2

=====

[6]
Below is a relaxed ScMoP2 crystal, with properties calculated at the PBE level.

Cell lengths 6.426, 6.426, 6.426 Å; angles 32.02, 32.02, 32.02 degrees
Element x y z (fractional)
Sc  0.000  0.000  0.000
Mo  0.825  0.825  0.825
P  0.418  0.418  0.418
P  0.573  0.573  0.573

Output
Density of states at the Fermi level, states/eV/f.u.: 3.7
Mass density, Mg/m³: 5.08
M_tot, μB per cell: 0.0
Excess energy over the best structure of this formula in the dataset, meV per atom: 0
E_form, kJ/mol of atoms: -84.41

=====

[7]
Below is a relaxed Li8Zn6Ni crystal, with properties calculated at the PBE level.

Cell lengths 6.940, 6.940, 6.940 Å; angles 57.76, 57.76, 57.76 degrees
Element x y z (fractional)
Li  0.083  0.083  0.083
Li  0.167  0.631  0.319
Li  0.319  0.167  0.631
Li  0.369  0.681  0.833
Li  0.631  0.319  0.167
Li  0.681  0.833  0.369
Li  0.833  0.369  0.681
Li  0.917  0.917  0.917
Zn  0.050  0.568  0.766
Zn  0.234  0.950  0.432
Zn  0.432  0.234  0.950
Zn  0.568  0.766  0.050
Zn  0.766  0.050  0.568
Zn  0.950  0.432  0.234
Ni  0.500  0.500  0.500

Output
Density of states at the Fermi level, states/eV/f.u.: 6.7
Mass density, Mg/m³: 3.75
M_tot, μB per cell: 0.0
E_form, kJ/mol of atoms: -10.01

=====

[8]
Below is a relaxed PrNdDy2Bi4 crystal, with properties calculated at the PBE level.

Cell lengths 7.876, 4.556, 7.887 Å; angles 90.00, 109.49, 90.00 degrees
Element x y z (fractional)
Pr  0.000  0.000  0.000
Nd  0.000  0.500  0.500
Dy  0.500  0.000  0.500
Dy  0.500  0.500  0.000
Bi  0.260  0.000  0.752
Bi  0.260  0.500  0.254
Bi  0.740  0.000  0.248
Bi  0.740  0.500  0.746

Output
Density of states at the Fermi level, states/eV/f.u.: 1.2
Mass density, Mg/m³: 9.00
M_tot, μB per cell: 0.0
E_form, kJ/mol of atoms: -87.21

=====

[9]
Below is a relaxed Be3Te2 crystal, with properties calculated at the PBE level.

Cell lengths 7.972, 6.094, 8.001 Å; angles 67.33, 44.85, 67.82 degrees
Element x y z (fractional)
Be  0.000  0.000  0.000
Be  0.000  0.073  0.612
Be  0.073  0.000  0.315
Be  0.250  0.250  0.250
Be  0.638  0.935  0.250
Be  0.935  0.638  0.177
Te  0.013  0.588  0.432
Te  0.283  0.818  0.662
Te  0.588  0.013  0.967
Te  0.818  0.283  0.237

Output
Formation energy from raw total energies, kJ/mol of formula units: 85
Mass density, Mg/m³: 3.75
M_tot, μB per cell: 0.0
Excess energy over the best structure of this formula in the dataset, meV per atom: 0

=====

[10]
Below is a relaxed Li5Ga2Cu4 crystal, with properties calculated at the PBE level.

Cell lengths 9.713, 9.713, 6.564 Å; angles 90.47, 90.47, 15.77 degrees
Element x y z (fractional)
Li  0.000  0.000  0.000
Li  0.271  0.271  0.703
Li  0.354  0.354  0.088
Li  0.646  0.646  0.912
Li  0.729  0.729  0.297
Ga  0.413  0.413  0.723
Ga  0.587  0.587  0.277
Cu  0.146  0.146  0.565
Cu  0.460  0.460  0.341
Cu  0.540  0.540  0.659
Cu  0.854  0.854  0.435

Output
Density of states at the Fermi level, states/eV/f.u.: 4.4
Mass density, Mg/m³: 4.23
M_tot, μB per cell: 0.0
E_form, kJ/mol of atoms: -5.80